Material: Mg2CuRu
Method: DFT, SCAN
State: PBEsol geometry

Output
**DOS(E_F)**: 2.3 states/eV per cell
**Space-group type**: I-4m2
**V**: 59.17 Å³/f.u.
**M_tot**: 0.49 μB/f.u.
**Energy of formation from the pure elements**: 0.037 eV/atom
**E**: -14.957 eV/atom

a = 3.827 Å, b = 3.827 Å, c = 4.862 Å
α = 113.18°, β = 113.18°, γ = 90.00°
Each line ends with the local moment (μB).
Positions (direct):
Mg (0.750, 0.250, 0.500)  0.00
Cu (0.250, 0.750, 0.500)  0.01
Mg (0.000, 0.000, 0.000)  -0.01
Ru (0.500, 0.500, 0.000)  0.48

***

Material: Mg2CuRu
Method: DFT, SCAN
State: PBEsol geometry

Output
**DOS(E_F)**: 2.0 states/eV per cell
**Space-group type**: Imm2
**V**: 60.28 Å³/f.u.
**M_tot**: 0.66 μB/f.u.
**Energy of formation from the pure elements**: 0.012 eV/atom
**E**: -14.981 eV/atom

a = 3.009 Å, b = 4.396 Å, c = 5.278 Å
α = 114.61°, β = 106.56°, γ = 90.00°
Each line ends with the local moment (μB).
Positions (direct):
Cu (0.240, 0.740, 0.479)  0.03
Mg (0.983, 0.983, 0.967)  -0.01
Mg (0.761, 0.261, 0.522)  0.00
Ru (0.516, 0.516, 0.033)  0.63

***

Material: MgCuRu
Method: DFT, SCAN
State: PBEsol geometry

Output
**DOS(E_F)**: 1.4 states/eV per cell
**Space-group type**: Imm2
**Polymorph energy (0 for the lowest one)**: 0 meV/atom
**V**: 41.52 Å³/f.u.
**M_tot**: 0.00 μB/f.u.
**Energy of formation from the pure elements**: 0.165 eV/atom
**E**: -18.168 eV/atom

a = 2.588 Å, b = 3.956 Å, c = 4.695 Å
α = 114.92°, β = 106.00°, γ = 90.00°
Positions (direct):
Mg (0.666, 0.666, 0.332)
Cu (0.995, 0.995, 0.990)
Ru (0.339, 0.339, 0.678)

***

Material: MgCuRu2
Method: DFT, SCAN
State: PBEsol geometry

Output
**DOS(E_F)**: 2.8 states/eV per cell
**Space-group type**: I-4m2
**V**: 53.93 Å³/f.u.
**M_tot**: 0.00 μB/f.u.
**Energy of formation from the pure elements**: 0.118 eV/atom
**E**: -22.339 eV/atom

a = 3.987 Å, b = 4.411 Å, c = 3.987 Å
α = 63.13°, β = 90.00°, γ = 116.87°
Positions (direct):
Ru (0.250, 0.500, 0.250)
Cu (0.500, 0.000, 0.500)
Mg (0.750, 0.500, 0.750)
Ru (0.000, 0.000, 0.000)

***

Material: Mg2CuRu
Method: DFT, SCAN
State: PBEsol geometry

Output
**DOS(E_F)**: 2.3 states/eV per cell
**Space-group type**: Pmmm
**V**: 59.37 Å³/f.u.
**M_tot**: 0.48 μB/f.u.
**Energy of formation from the pure elements**: -0.005 eV/atom
**E**: -14.998 eV/atom

a = 3.103 Å, b = 3.269 Å, c = 5.853 Å
α = 90.00°, β = 90.00°, γ = 90.00°
Each line ends with the local moment (μB).
Positions (direct):
Cu (0.500, 0.500, 0.500)  0.00
Mg (0.000, 0.000, 0.755)  0.00
Mg (0.000, 0.000, 0.245)  0.00
Ru (0.500, 0.500, 0.000)  0.46

***

Material: Mg3CuS
Method: DFT, SCAN
State: PBEsol geometry

Output
**DOS(E_F)**: 1.7 states/eV per cell
**Space-group type**: Pm-3m
**V**: 105.41 Å³/f.u.
**Energy relative to the elements, uncorrected**: -30 meV per atom
**M_tot**: 0.00 μB/f.u.
**E**: -7.979 eV/atom

a = 4.724 Å, b = 4.724 Å, c = 4.724 Å
α = 90.00°, β = 90.00°, γ = 90.00°
Positions (direct):
Mg (0.000, 0.500, 0.000)
Mg (0.000, 0.000, 0.500)
S (0.000, 0.000, 0.000)
Mg (0.500, 0.000, 0.000)
Cu (0.500, 0.500, 0.500)

***

Material: MgCuSi2S
Method: DFT, SCAN
State: PBEsol geometry

Output
**DOS(E_F)**: 3.2 states/eV per cell
**Space-group type**: P4/mmm
**V**: 94.52 Å³/f.u.
**Energy relative to the elements, uncorrected**: 831 meV per atom
**M_tot**: 0.00 μB/f.u.
**E**: -9.136 eV/atom

a = 4.535 Å, b = 4.535 Å, c = 4.596 Å
α = 90.00°, β = 90.00°, γ = 90.00°
Positions (direct):
Si (0.000, 0.500, 0.000)
Mg (0.000, 0.000, 0.500)
Cu (0.500, 0.500, 0.500)
S (0.000, 0.000, 0.000)
Si (0.500, 0.000, 0.000)

***

Material: MgCu2Sb
Method: DFT, SCAN
State: PBEsol geometry

Output
**DOS(E_F)**: 1.3 states/eV per cell
**Space-group type**: Pmm2
**V**: 66.42 Å³/f.u.
**Energy relative to the elements, uncorrected**: 67 meV per atom
**M_tot**: 0.00 μB/f.u.
**E**: -18.091 eV/atom

a = 3.141 Å, b = 3.697 Å, c = 5.720 Å
α = 90.00°, β = 90.00°, γ = 90.00°
Positions (direct):
Mg (0.000, 0.000, 0.467)
Sb (0.500, 0.500, 0.778)
Cu (0.000, 0.000, 0.023)
Cu (0.500, 0.500, 0.233)

***

Material: MgCuSb2
Method: DFT, SCAN
State: PBEsol geometry

Output
**DOS(E_F)**: 1.6 states/eV per cell
**Space-group type**: Pmmm
**V**: 83.62 Å³/f.u.
**Energy relative to the elements, uncorrected**: 116 meV per atom
**M_tot**: 0.00 μB/f.u.
**E**: -23.558 eV/atom

a = 4.084 Å, b = 4.129 Å, c = 4.959 Å
α = 90.00°, β = 90.00°, γ = 90.00°
Positions (direct):
Cu (0.500, 0.500, 0.000)
Sb (0.000, 0.000, 0.000)
Mg (0.500, 0.000, 0.500)
Sb (0.000, 0.500, 0.500)

***

Material: MgCu4Sb
Method: DFT, SCAN
State: PBEsol geometry

Output
**DOS(E_F)**: 2.9 states/eV per cell
**Space-group type**: F-43m
**V**: 85.55 Å³/f.u.
**Energy relative to the elements, uncorrected**: -82 meV per atom
**M_tot**: 0.00 μB/f.u.
**E**: -17.254 eV/atom

a = 4.946 Å, b = 4.946 Å, c = 4.946 Å
α = 60.00°, β = 60.00°, γ = 60.00°
Positions (direct):
Cu (0.127, 0.624, 0.624)
Cu (0.624, 0.624, 0.624)
Cu (0.624, 0.127, 0.624)
Sb (0.000, 0.000, 0.000)
Mg (0.250, 0.250, 0.250)
Cu (0.624, 0.624, 0.127)

***

Material: MgCu2Sb2
Method: DFT, SCAN
State: PBEsol geometry

Output
**DOS(E_F)**: 2.1 states/eV per cell
**Space-group type**: I4/mmm
**V**: 103.29 Å³/f.u.
**Energy relative to the elements, uncorrected**: 197 meV per atom
**M_tot**: 0.00 μB/f.u.
**E**: -21.781 eV/atom

a = 4.257 Å, b = 4.257 Å, c = 6.445 Å
α = 109.28°, β = 109.28°, γ = 90.00°
Positions (direct):
Cu (0.602, 0.602, 0.204)
Cu (0.398, 0.398, 0.796)
Mg (0.000, 0.000, 0.000)
Sb (0.750, 0.250, 0.500)
Sb (0.250, 0.750, 0.500)

***

Material: Mg2Cu2Sb
Method: DFT, SCAN
State: PBEsol geometry

Output
**DOS(E_F)**: 2.0 states/eV per cell
**Space-group type**: I4/mmm
**V**: 94.55 Å³/f.u.
**Energy relative to the elements, uncorrected**: -9 meV per atom
**M_tot**: 0.00 μB/f.u.
**E**: -15.530 eV/atom

a = 3.344 Å, b = 3.344 Å, c = 8.781 Å
α = 100.97°, β = 100.97°, γ = 90.00°
Positions (direct):
Cu (0.250, 0.750, 0.500)
Sb (0.000, 0.000, 0.000)
Mg (0.624, 0.624, 0.249)
Mg (0.376, 0.376, 0.751)
Cu (0.750, 0.250, 0.500)

***

Material: MgCuSb2
Method: DFT, SCAN
State: PBEsol geometry

Output
**DOS(E_F)**: 3.8 states/eV per cell
**Space-group type**: I-42d
**V**: 89.34 Å³/f.u.
**Energy relative to the elements, uncorrected**: -14 meV per atom
**M_tot**: 0.00 μB/f.u.
**E**: -23.687 eV/atom

a = 5.612 Å, b = 6.302 Å, c = 6.302 Å
α = 78.56°, β = 63.56°, γ = 63.56°
Positions (direct):
Sb (0.875, 0.431, 0.069)
Sb (0.375, 0.569, 0.931)
Cu (0.750, 0.500, 0.500)
Sb (0.694, 0.931, 0.431)
Sb (0.056, 0.069, 0.569)
Mg (0.500, 0.000, 0.000)
Cu (0.000, 0.000, 0.000)
Mg (0.250, 0.500, 0.500)

***

Material: MgCuSb2
Method: DFT, SCAN
State: PBEsol geometry

Output
**DOS(E_F)**: 1.6 states/eV per cell
**Space-group type**: Immm
**V**: 85.20 Å³/f.u.
**Energy relative to the elements, uncorrected**: 79 meV per atom
**M_tot**: 0.00 μB/f.u.
**E**: -23.595 eV/atom

a = 3.934 Å, b = 5.193 Å, c = 5.292 Å
α = 119.38°, β = 111.82°, γ = 90.00°
Positions (direct):
Sb (0.217, 0.217, 0.434)
Cu (0.500, 0.000, 0.000)
Mg (0.000, 0.500, 0.000)
Sb (0.783, 0.783, 0.566)

***

Material: MgCuSb2
Method: DFT, SCAN
State: PBEsol geometry

Output
**DOS(E_F)**: 1.8 states/eV per cell
**Space-group type**: I-4m2
**V**: 83.71 Å³/f.u.
**Energy relative to the elements, uncorrected**: 123 meV per atom
**M_tot**: 0.00 μB/f.u.
**E**: -23.551 eV/atom

a = 4.051 Å, b = 4.051 Å, c = 5.850 Å
α = 110.26°, β = 110.26°, γ = 90.00°
Positions (direct):
Sb (0.750, 0.250, 0.500)
Sb (0.000, 0.000, 0.000)
Mg (0.250, 0.750, 0.500)
Cu (0.500, 0.500, 0.000)